# SrVClO3, PBEsol geometry, DFT SCAN
# * formation energy (no corrections): -2.836 eV per atom
data_SrVClO3
_chemical_formula_sum 'Sr4 V4 Cl4 O12'
_space_group_name_H-M_alt 'P n m a'
_space_group_IT_number 62
_space_group_name_Hall '-P 2ac 2n'
_cell_length_a 10.020
_cell_length_b 5.231
_cell_length_c 6.917
_cell_angle_alpha 90.00
_cell_angle_beta 90.00
_cell_angle_gamma 90.00
loop_
_atom_site_label
_atom_site_type_symbol
_atom_site_fract_x
_atom_site_fract_y
_atom_site_fract_z
Sr1 Sr 0.192 0.250 0.097
V1 V 0.042 0.250 0.554
Cl1 Cl 0.107 0.750 0.931
O1 O 0.101 0.508 0.404
O2 O 0.142 0.250 0.738


# Hf2AlTl, PBEsol geometry, DFT SCAN
# * formation energy: 2.8 kJ/mol of atoms
data_Hf2AlTl
_chemical_formula_sum 'Hf8 Al4 Tl4'
_space_group_name_H-M_alt 'F m -3 m'
_space_group_IT_number 225
_space_group_name_Hall '-F 4 2 3'
_cell_length_a 6.843
_cell_length_b 6.843
_cell_length_c 6.843
_cell_angle_alpha 90.00
_cell_angle_beta 90.00
_cell_angle_gamma 90.00
loop_
_atom_site_label
_atom_site_type_symbol
_atom_site_fract_x
_atom_site_fract_y
_atom_site_fract_z
Hf1 Hf 0.250 0.250 0.250
Al1 Al 0.000 0.000 0.000
Tl1 Tl 0.000 0.000 0.500


# LaFe2W, PBEsol geometry, DFT SCAN
# * formation energy: 71.2 kJ/mol of atoms
data_LaFe2W
_chemical_formula_sum 'La2 Fe4 W2'
_space_group_name_H-M_alt 'I m m m'
_space_group_IT_number 71
_space_group_name_Hall '-I 2 2'
_cell_length_a 4.170
_cell_length_b 4.824
_cell_length_c 6.460
_cell_angle_alpha 90.00
_cell_angle_beta 90.00
_cell_angle_gamma 90.00
loop_
_atom_site_label
_atom_site_type_symbol
_atom_site_fract_x
_atom_site_fract_y
_atom_site_fract_z
La1 La 0.000 0.000 0.000
Fe1 Fe 0.000 0.500 0.225
W1 W 0.000 0.000 0.500


# MgCu4Au, PBEsol geometry, DFT SCAN
# * formation energy: -16.8 kJ/mol of atoms
data_MgCu4Au
_chemical_formula_sum 'Mg4 Cu16 Au4'
_space_group_name_H-M_alt 'F -4 3 m'
_space_group_IT_number 216
_space_group_name_Hall 'F -4 2 3'
_cell_length_a 6.831
_cell_length_b 6.831
_cell_length_c 6.831
_cell_angle_alpha 90.00
_cell_angle_beta 90.00
_cell_angle_gamma 90.00
loop_
_atom_site_label
_atom_site_type_symbol
_atom_site_fract_x
_atom_site_fract_y
_atom_site_fract_z
Mg1 Mg 0.000 0.000 0.000
Cu1 Cu 0.125 0.125 0.375
Au1 Au 0.250 0.250 0.750


no.,spin magnetization (μB per cell)
1,0.000
2,0.001
3,5.034
4,0.000